DFT (GGA-PBE) results for CoCuHgOsRu after structural relaxation.

Results
Energy above the most stable polymorph in this dataset = 147 meV/atom
Mass density = 13.70 Mg/m³

abc: 8.6605 2.7416 6.4666
angles: 90.00 104.00 90.00
Space group Cm (No. 8)
One atom of each set of equivalent atoms:
Co 0.0000 0.0000 0.0000
Cu 0.1918 0.5000 0.8120
Hg 0.3896 0.0000 0.6109
Os 0.3057 0.0000 0.1590
Ru 0.1067 0.5000 0.3281